1.
Density functional theory data (PBE) for a relaxed NdCd3Pd crystal.

The density of states at the Fermi level is 3.17 states/eV/f.u. The value obtained for the energy of formation is -0.132 eV per atom. For the total energy, the calculation gives -53.5 eV/cell.

The space group is I-4m2 (No. 119) and the conventional cell measures 5.510, 5.510 and 18.599 Å, with angles of 90.00, 90.00 and 90.00 degrees. The distinct sites, in fractional coordinates, are Nd at (0.000, 0.000, 0.195), Cd at (0.000, 0.247, 0.623), Cd at (0.000, 0.500, 0.043), Pd at (0.000, 0.000, 0.500) and Pd at (0.000, 0.500, 0.750).

=====

2.
Density functional theory data (PBE) for a relaxed ScCd2As crystal.

The density of states at the Fermi level is 2.20 states/eV/f.u. The value obtained for the energy of formation is -0.380 eV per atom. For the total energy, the calculation gives -14.3 eV/cell.

The space group is P4mm (No. 99) and the conventional cell measures 3.710, 3.710 and 6.424 Å, with angles of 90.00, 90.00 and 90.00 degrees. The distinct sites, in fractional coordinates, are Sc at (0.000, 0.000, 0.000), Cd at (0.000, 0.000, 0.475), Cd at (0.500, 0.500, 0.698) and As at (0.500, 0.500, 0.138).

=====

3.
Density functional theory data (PBE) for a relaxed Rb3Ac2ErTe6 crystal.

The value obtained for the formation energy without anion corrections is -1.44 eV per atom. The density of states at the Fermi level is 0.00 states/eV/f.u. For the total energy, the calculation gives -103.7 eV/cell.

The space group is C2/m (No. 12) and the conventional cell measures 8.235, 14.267 and 9.018 Å, with angles of 90.00, 107.81 and 90.00 degrees. The distinct sites, in fractional coordinates, are Rb at (0.000, 0.000, 0.000), Rb at (0.000, 0.330, 0.000), Ac at (0.000, 0.166, 0.500), Er at (0.000, 0.500, 0.500), Te at (0.226, 0.343, 0.707) and Te at (0.244, 0.500, 0.293).

=====

4.
Density functional theory data (PBE) for a relaxed Li2In2Pb crystal.

The density of states at the Fermi level is 1.98 states/eV/f.u. The value obtained for the energy of formation is -0.080 eV per atom. For the total energy, the calculation gives -26.8 eV/cell.

The space group is I4/mmm (No. 139) and the conventional cell measures 4.204, 4.204 and 13.876 Å, with angles of 90.00, 90.00 and 90.00 degrees. The distinct sites, in fractional coordinates, are Li at (0.000, 0.500, 0.250), In at (0.000, 0.000, 0.106) and Pb at (0.000, 0.000, 0.500).

=====

5.
Density functional theory data (PBE) for a relaxed Sm6Zn3N crystal.

The value obtained for the formation energy without anion corrections is -0.39 eV per atom. The density of states at the Fermi level is 11.28 states/eV/f.u. For the total energy, the calculation gives -88.7 eV/cell.

The space group is P2_1/c (No. 14) and the conventional cell measures 6.602, 7.954 and 11.215 Å, with angles of 90.00, 118.95 and 90.00 degrees. The distinct sites, in fractional coordinates, are Sm at (0.077, 0.049, 0.231), Sm at (0.189, 0.716, 0.065), Sm at (0.374, 0.152, 0.055), Zn at (0.319, 0.115, 0.745), Zn at (0.500, 0.000, 0.500) and N at (0.000, 0.000, 0.000).

=====

6.
Density functional theory data (PBE) for a relaxed DyVBi crystal.

The density of states at the Fermi level is 2.98 states/eV/f.u. The value obtained for the energy of formation is -0.179 eV per atom. For the total energy, the calculation gives -36.3 eV/cell.

The space group is P4/nmm (No. 129, origin choice 2) and the conventional cell measures 4.153, 4.153 and 8.037 Å, with angles of 90.00, 90.00 and 90.00 degrees. The distinct sites, in fractional coordinates, are Dy at (0.250, 0.250, 0.145), V at (0.250, 0.750, 0.500) and Bi at (0.250, 0.250, 0.740).

=====

7.
Density functional theory data (PBE) for a relaxed Dy2B6Rh9 crystal.

The density of states at the Fermi level is 2.65 states/eV/f.u. The value obtained for the energy of formation is -0.641 eV per atom. For the total energy, the calculation gives -126.3 eV/cell.

The space group is P6/mmm (No. 191) and the conventional cell measures 5.6068, 5.6068 and 8.5749 Å, with angles of 90.00, 90.00 and 120.00 degrees. The distinct sites, in fractional coordinates, are Dy at (0.0000, 0.0000, 0.2064), B at (0.3333, 0.6667, 0.1672), B at (0.3333, 0.6667, 0.5000), Rh at (0.0000, 0.5000, 0.0000) and Rh at (0.0000, 0.5000, 0.3357).

=====

8.
Density functional theory data (PBE) for a relaxed YTaIn2 crystal.

The density of states at the Fermi level is 2.92 states/eV/f.u. The value obtained for the energy of formation is -0.041 eV per atom. For the total energy, the calculation gives -24.0 eV/cell.

The space group is P4/mmm (No. 123) and the conventional cell measures 3.146, 3.146 and 9.060 Å, with angles of 90.00, 90.00 and 90.00 degrees. The distinct sites, in fractional coordinates, are Y at (0.000, 0.000, 0.000), Ta at (0.000, 0.000, 0.500) and In at (0.500, 0.500, 0.269).